Entry 1:
Compound: GaIrI
Source: Alexandria
Functional: PBE-GGA
Structure: relaxed

abc: 3.604 3.604 10.950
angles: 87.51 87.51 89.47
Fractional coordinates of all 6 atoms:
1 Ir 0.834 0.834 0.104
2 I 0.770 0.770 0.349
3 Ga 0.666 0.666 0.882
4 Ga 0.334 0.334 0.118
5 I 0.230 0.230 0.651
6 Ir 0.166 0.166 0.896

Calculated values
The raw formation energy comes out at 0.00 eV/atom. As for the total energy: -4.4802 eV/atom. Its density is 9.1 g/cm3.

Entry 2:
Compound: GaIr2I
Source: Alexandria
Functional: PBE-GGA
Structure: relaxed

abc: 4.607 4.607 4.607
angles: 60.00 60.00 60.00
Fractional coordinates of all 4 atoms:
1 I 0.500 0.500 0.500
2 Ir 0.750 0.750 0.750
3 Ir 0.250 0.250 0.250
4 Ga 0.000 0.000 0.000

Calculated values
The raw formation energy comes out at 0.74 eV/atom. As for the total energy: -4.8373 eV/atom. Its density is 14.0 g/cm3.

Entry 3:
Compound: GaIr3I
Source: Alexandria
Functional: PBE-GGA
Structure: relaxed

abc: 4.656 4.656 4.656
angles: 90.00 90.00 90.00
Site moments in Bohr magnetons follow the coordinates.
Fractional coordinates of all 5 atoms:
1 I 0.500 0.500 0.500  0.12
2 Ir 0.500 0.000 0.000  0.61
3 Ga 0.000 0.000 0.000  -0.03
4 Ir 0.000 0.000 0.500  0.62
5 Ir 0.000 0.500 0.000  0.77

Calculated values
The raw formation energy comes out at 1.44 eV/atom. As for the total energy: -4.7916 eV/atom. Its density is 12.7 g/cm3.

Question: Look up the raw formation energy of the second one.
Answer: 0.74 eV/atom

Question: The highest raw formation energy belongs to which entry?
Answer: GaIr3I

Question: The lowest raw formation energy belongs to which entry?
Answer: GaIrI

Question: The highest total energy belongs to which entry?
Answer: GaIrI